CsLiTePt | GGA-PBE | optimized geometry

It has space group F-43m (No. 216), with a = 7.7917 Å, b = 7.7917 Å, c = 7.7917 Å, α = 90.00°, β = 90.00° and γ = 90.00°. The asymmetric unit holds Cs at (0.0000, 0.0000, 0.0000), Li at (0.0000, 0.0000, 0.5000), Te at (0.2500, 0.2500, 0.2500) and Pt at (0.2500, 0.2500, 0.7500).

Its total energy is -2.734 eV per atom. As for the polymorph energy (0 for the lowest one): 0.305 eV per atom.